[1]
DFT (PBE) results for TbDy3Y after structural relaxation.

The space group is Cmcm (No. 63) and the conventional cell measures 3.6070, 16.6830 and 11.5361 Å, with angles of 90.00, 90.00 and 90.00 degrees. The inequivalent atoms are Tb at (0.0000, 0.1792, 0.2500), Dy at (0.0000, 0.1621, 0.7500), Dy at (0.0000, 0.3472, 0.0000) and Y at (0.0000, 0.4931, 0.7500).

The formation energy comes out at 0.32 eV per atom. The energy above the most stable polymorph in this dataset comes out at 30.3 kJ/mol of atoms. For the uncorrected energy, the calculation gives -4.6601 eV/atom. As for the size of the total moment: 0.00 μB per formula unit. Its volume is 34.709 Å³ per atom.

[2]
DFT (PBE) results for Tb2Dy4Y7 after structural relaxation.

The space group is P-1 (No. 2) and the conventional cell measures 6.1649, 7.9375 and 9.4295 Å, with angles of 65.15, 89.75 and 82.51 degrees. The inequivalent atoms are Tb at (0.1536, 0.0761, 0.1152), Dy at (0.3074, 0.1527, 0.7304), Dy at (0.4603, 0.2293, 0.3465), Y at (0.0000, 0.0000, 0.5000), Y at (0.0770, 0.5383, 0.8077), Y at (0.2321, 0.6151, 0.4231) and Y at (0.3860, 0.6934, 0.0380).

The formation energy comes out at 0.02 eV per atom. For the uncorrected energy, the calculation gives -5.5913 eV/atom. As for the size of the total moment: 0.00 μB per formula unit. Its volume is 31.884 Å³ per atom.

[3]
DFT (PBE) results for Tb4Dy3Y2 after structural relaxation.

The space group is C2/m (No. 12) and the conventional cell measures 15.0920, 5.0279 and 7.9542 Å, with angles of 90.00, 108.25 and 90.00 degrees. The inequivalent atoms are Tb at (0.1669, 0.0000, 0.9999), Tb at (0.2224, 0.5000, 0.3330), Dy at (0.0000, 0.5000, 0.0000), Dy at (0.1116, 0.5000, 0.6674) and Y at (0.0555, 0.0000, 0.3329).

The formation energy comes out at 0.02 eV per atom. The energy above the most stable polymorph in this dataset comes out at 0.0 kJ/mol of atoms. For the uncorrected energy, the calculation gives -5.0113 eV/atom. As for the size of the total moment: 0.00 μB per formula unit. Its volume is 31.845 Å³ per atom.